Record 1
The following is a DFT calculation (meta-GGA SCAN) of a crystal of TlTe2SI relaxed with PBEsol.

a b c (Å): 5.329 5.329 5.396
angles (deg): 90.00 90.00 90.00
Atoms (fractional coordinates):
Tl 0.000 0.000 0.000
Te 0.000 0.500 0.500
Te 0.500 0.000 0.500
S 0.500 0.500 0.500
I 0.500 0.500 0.000

Properties
As for the space-group type: P4/mmm (123).

***

Record 2
The following is a DFT calculation (meta-GGA SCAN) of a crystal of TlSI2 relaxed with PBEsol.

a b c (Å): 9.703 9.703 9.703
angles (deg): 142.51 142.51 54.06
Atoms (fractional coordinates):
Tl 0.000 0.000 0.000
Tl 0.750 0.250 0.500
S 0.250 0.750 0.500
S 0.500 0.500 0.000
I 0.226 0.625 0.101
I 0.375 0.476 0.601
I 0.524 0.125 0.899
I 0.875 0.774 0.399

Properties
As for the space-group type: I-42d (122).

***

Record 3
The following is a DFT calculation (meta-GGA SCAN) of a crystal of WS3I relaxed with PBEsol.

a b c (Å): 4.957 4.957 4.957
angles (deg): 90.00 90.00 90.00
Atoms (fractional coordinates):
W 0.000 0.000 0.000
S 0.000 0.500 0.500
S 0.500 0.000 0.500
S 0.500 0.500 0.000
I 0.500 0.500 0.500

Properties
As for the space-group type: Pm-3m (221).

***

no.,final energy (Ry/atom)
1,-2.8264
2,-2.8432
3,-1.8449